Here is a relaxed MgTlCd crystal from Alexandria via LeMat-Bulk. Energies are from GGA-PBE.

a = 8.1992 Å, b = 7.9546 Å, c = 3.2648 Å
α = 82.58°, β = 74.16°, γ = 23.26°
Closest atoms and distances in Å follow each position.
Atoms (fractional coordinates):
Cd 0.0080 0.0080 0.9920  2 Mg 2.98, 4 Cd 3.26, 2 Tl 3.28
Mg 0.6597 0.6597 0.3403  2 Cd 2.98, 2 Tl 3.24, 4 Mg 3.26
Tl 0.3323 0.3323 0.6677  2 Mg 3.24, 4 Tl 3.26, 2 Cd 3.28

Results
- ΔH_f (0 K) (meV per atom) = 37.7